Below is crystalline Li3YTi at its relaxed geometry, with properties calculated at the PBE-GGA level.

Lattice parameters (Å, degrees): 4.9223 4.9223 4.9223 90.00 90.00 90.00
Closest atoms and distances in Å follow each position.
Positions (direct):
Y (0.5000, 0.5000, 0.5000)  12 Li 3.48
Li (0.0000, 0.5000, 0.0000)  2 Ti 2.46
Li (0.0000, 0.0000, 0.5000)  2 Ti 2.46
Li (0.5000, 0.0000, 0.0000)  2 Ti 2.46
Ti (0.0000, 0.0000, 0.0000)  6 Li 2.46

* offset from the most stable computed form: 0.000 eV/atom
* total moment: 3.6 μB per cell
* space group: No. 221
* calculated total energy: -16.02 eV for the cell shown
* theoretical density: 2.2 Mg/m³

Below is crystalline LiYTi at its relaxed geometry, with properties calculated at the PBE-GGA level.

Lattice parameters (Å, degrees): 4.7605 5.2207 5.9099 116.21 89.99 90.00
Closest atoms and distances in Å follow each position.
Positions (direct):
Y (0.2500, 0.7529, 0.0062)  5 Li 3.06-3.32, 5 Ti 3.14-3.39
Y (0.7500, 0.2471, 0.9938)  5 Li 3.06-3.32, 5 Ti 3.14-3.39
Li (0.7498, 0.9349, 0.3681)  2 Li 2.76, 2 Ti 2.85, 2 Y 3.06
Li (0.2502, 0.0651, 0.6319)  2 Li 2.76, 2 Ti 2.85, 2 Y 3.06
Ti (0.7500, 0.5433, 0.5854)  2 Ti 2.55
Ti (0.2500, 0.4567, 0.4146)  2 Ti 2.55

* offset from the most stable computed form: 0.159 eV/atom
* total moment: 0.0 μB per cell
* space group: No. 11
* calculated total energy: -31.03 eV for the cell shown
* theoretical density: 3.6 Mg/m³

Below is crystalline LiYTi at its relaxed geometry, with properties calculated at the PBE-GGA level.

Lattice parameters (Å, degrees): 5.8813 4.8043 9.3396 90.00 90.00 90.00
Closest atoms and distances in Å follow each position.
Positions (direct):
Y (0.0900, 0.2500, 0.8679)  5 Li 3.06-3.21, 5 Ti 3.10-3.40
Y (0.4100, 0.7500, 0.3679)  5 Li 3.06-3.21, 5 Ti 3.10-3.40
Y (0.9100, 0.7500, 0.1321)  5 Li 3.06-3.21, 5 Ti 3.10-3.40
Y (0.5900, 0.2500, 0.6321)  5 Li 3.06-3.21, 5 Ti 3.10-3.40
Li (0.7260, 0.2500, 0.2990)  2 Ti 2.82-2.96, 4 Y 3.06-3.10, 2 Li 3.08
Li (0.7740, 0.7500, 0.7990)  2 Ti 2.82-2.96, 4 Y 3.06-3.10, 2 Li 3.08
Li (0.2740, 0.7500, 0.7010)  2 Ti 2.82-2.96, 4 Y 3.06-3.10, 2 Li 3.08
Li (0.2260, 0.2500, 0.2010)  2 Ti 2.82-2.96, 4 Y 3.06-3.10, 2 Li 3.08
Ti (0.0770, 0.2500, 0.5042)  2 Ti 2.57, 1 Li 2.82
Ti (0.4230, 0.7500, 0.0042)  2 Ti 2.57, 1 Li 2.82
Ti (0.9230, 0.7500, 0.4958)  2 Ti 2.57, 1 Li 2.82
Ti (0.5770, 0.2500, 0.9958)  2 Ti 2.57, 1 Li 2.82

* offset from the most stable computed form: 0.180 eV/atom
* total moment: 0.0 μB per cell
* space group: No. 62
* calculated total energy: -61.82 eV for the cell shown
* theoretical density: 3.6 Mg/m³

Below is crystalline LiYTi at its relaxed geometry, with properties calculated at the PBE-GGA level.

Lattice parameters (Å, degrees): 4.9951 6.2711 5.0269 96.45 60.21 90.01
Closest atoms and distances in Å follow each position.
Positions (direct):
Y (0.2601, 0.6032, 0.9013)  1 Ti 2.93, 3 Li 3.18-3.20
Y (0.9528, 0.3281, 0.5159)  6 Ti 2.90-3.15, 1 Li 2.99
Li (0.9204, 0.8591, 0.5802)  3 Li 2.78-2.96, 1 Y 2.99
Li (0.6016, 0.8626, 0.2183)  3 Li 2.78-2.96, 2 Ti 2.91-2.92
Ti (0.3019, 0.1322, 0.8173)  3 Li 2.92-3.13, 4 Y 2.93-3.15, 3 Ti 3.11-3.17
Ti (0.6215, 0.3219, 0.1785)  3 Y 2.90, 1 Li 2.91, 3 Ti 3.11-3.17

* offset from the most stable computed form: 0.197 eV/atom
* total moment: 0.1 μB per cell
* space group: No. 8
* calculated total energy: -30.80 eV for the cell shown
* theoretical density: 3.5 Mg/m³